The following is a DFT calculation (meta-GGA SCAN) of FeSiHg2 at its PBEsol-relaxed geometry.

a b c (Å): 2.9369 2.9369 7.6688
angles (deg): 90.00 90.00 90.00
Last column: nearest neighbours and their distance in Å.
Space group P4mm (No. 99)
Inequivalent atoms, fractional coordinates:
Fe: 0.0000 0.0000 0.0000  4 Si 2.29
Si: 0.5000 0.5000 0.1247  4 Fe 2.29
Hg: 0.0000 0.0000 0.4163  8 Hg 2.94-3.26, 4 Si 3.05, 1 Fe 3.19
Hg: 0.5000 0.5000 0.7448  4 Fe 2.85, 1 Si 2.91, 4 Hg 2.94

Its formation energy from raw total energies is 0.375 eV per atom. The density comes out at 12.18 g/cm3. Its total energy is -162.98 eV/f.u.

The following is a DFT calculation (meta-GGA SCAN) of NbPtN2 at its PBEsol-relaxed geometry.

a b c (Å): 5.5238 5.5238 5.5238
angles (deg): 90.00 90.00 90.00
Last column: nearest neighbours and their distance in Å.
Space group Fm-3m (No. 225)
Inequivalent atoms, fractional coordinates:
Nb: 0.0000 0.0000 0.0000  8 N 2.39
Pt: 0.0000 0.0000 0.5000  8 N 2.39
N: 0.2500 0.2500 0.2500  4 Nb 2.39, 4 Pt 2.39

Its formation energy from raw total energies is 0.666 eV per atom. The density comes out at 12.45 g/cm3. Its total energy is -119.24 eV/f.u.

The following is a DFT calculation (meta-GGA SCAN) of HfBNO2 at its PBEsol-relaxed geometry.

a b c (Å): 3.2777 3.2777 3.5766
angles (deg): 90.00 90.00 90.00
Last column: nearest neighbours and their distance in Å.
Space group P4/mmm (No. 123)
Inequivalent atoms, fractional coordinates:
Hf: 0.0000 0.0000 0.0000  4 N 2.32, 8 O 2.43
B: 0.5000 0.5000 0.5000  4 O 1.64, 2 N 1.79
N: 0.5000 0.5000 0.0000  2 B 1.79
O: 0.0000 0.5000 0.5000  2 B 1.64

Its formation energy from raw total energies is -1.526 eV per atom. The density comes out at 10.17 g/cm3. Its total energy is -99.48 eV/f.u.

The following is a DFT calculation (meta-GGA SCAN) of SrLiPb2 at its PBEsol-relaxed geometry.

a b c (Å): 4.8276 4.8276 4.7849
angles (deg): 90.00 90.00 90.00
Last column: nearest neighbours and their distance in Å.
Space group P4/mmm (No. 123)
Inequivalent atoms, fractional coordinates:
Sr: 0.0000 0.0000 0.0000  8 Pb 3.40, 4 Li 3.41
Li: 0.5000 0.5000 0.0000  8 Pb 3.40, 4 Sr 3.41
Pb: 0.0000 0.5000 0.5000  4 Li 3.40, 4 Sr 3.40, 4 Pb 3.41

The density comes out at 7.58 g/cm3. The calculation puts the formation energy at -0.52 eV/atom. Its total energy is -178.29 eV/f.u.

The following is a DFT calculation (meta-GGA SCAN) of MgHg2Te at its PBEsol-relaxed geometry.

a b c (Å): 4.3039 5.6579 8.2920
angles (deg): 90.00 90.00 90.00
Last column: nearest neighbours and their distance in Å.
Space group Imm2 (No. 44)
Inequivalent atoms, fractional coordinates:
Mg: 0.0000 0.0000 0.0000  2 Hg 2.89, 2 Te 2.95
Hg: 0.0000 0.0000 0.5195  2 Hg 2.98, 2 Te 3.14
Hg: 0.0000 0.5000 0.2682  2 Mg 2.89, 2 Hg 2.98
Te: 0.0000 0.5000 0.7437  2 Mg 2.95, 2 Hg 3.14

Its formation energy from raw total energies is -0.175 eV per atom. The density comes out at 9.10 g/cm3. Its total energy is -179.26 eV/f.u.

The following is a DFT calculation (meta-GGA SCAN) of MnBi12O20 at its PBEsol-relaxed geometry.

a b c (Å): 10.0919 10.0919 10.0919
angles (deg): 90.00 90.00 90.00
Last column: nearest neighbours and their distance in Å.
Space group I23 (No. 197)
Inequivalent atoms, fractional coordinates:
Mn: 0.0000 0.0000 0.0000  4 O 1.78
Bi: 0.0147 0.3199 0.8249  3 O 2.11-2.24
O: 0.0091 0.2449 0.3692  2 Bi 2.11-2.24
O: 0.1016 0.1016 0.1016  1 Mn 1.78
O: 0.1980 0.1980 0.8020  3 Bi 2.23

Its formation energy from raw total energies is -1.191 eV per atom. The density comes out at 9.31 g/cm3. Its total energy is -1125.14 eV/f.u.

The following is a DFT calculation (meta-GGA SCAN) of MnSi4Hg at its PBEsol-relaxed geometry.

a b c (Å): 7.2485 7.2485 7.2485
angles (deg): 90.00 90.00 90.00
Last column: nearest neighbours and their distance in Å.
Space group F-43m (No. 216)
Inequivalent atoms, fractional coordinates:
Mn: 0.0000 0.0000 0.0000  12 Si 3.00, 4 Hg 3.14
Si: 0.1256 0.1256 0.3744  6 Si 2.55-2.58
Hg: 0.2500 0.2500 0.7500  12 Si 3.01, 4 Mn 3.14

Its formation energy from raw total energies is 0.536 eV per atom. The density comes out at 6.42 g/cm3. Its total energy is -123.27 eV/f.u.

The following is a DFT calculation (meta-GGA SCAN) of Ba2LiCu at its PBEsol-relaxed geometry.

a b c (Å): 3.9242 3.9242 8.8280
angles (deg): 90.00 90.00 90.00
Last column: nearest neighbours and their distance in Å.
Space group P4/mmm (No. 123)
Inequivalent atoms, fractional coordinates:
Ba: 0.0000 0.0000 0.2080  4 Cu 3.33, 1 Ba 3.67
Li: 0.5000 0.5000 0.5000  8 Ba 3.79, 4 Li 3.92
Cu: 0.5000 0.5000 0.0000  8 Ba 3.33

The density comes out at 4.22 g/cm3. The calculation puts the formation energy at 0.06 eV/atom. Its total energy is -96.45 eV/f.u.

Which of these has the highest total energy?
Ba2LiCu